1.
LiZn2Pb: relaxed, PBE-GGA.

Values from the calculation:
Magnetization = 0.000 Bohr magnetons per cell
ΔH_f (0 K) = -29 meV per atom
Theoretical density = 7.1 g cm⁻³

Lattice parameters (Å, degrees): 3.1873 4.3770 6.0313 90.00 105.16 90.00
With the nearest neighbours (Å) after each atom.
Space group Pm (No. 6)
Symmetry-distinct sites (fractional):
1 Li 0.0000 0.0000 0.0000 [1 per cell]  6 Zn 2.86-2.90, 2 Li 3.19
2 Zn 0.2954 0.0000 0.5917 [1 per cell]  2 Zn 2.57, 2 Li 2.86-2.87
3 Zn 0.4095 0.5000 0.8220 [1 per cell]  2 Zn 2.57
4 Pb 0.6649 0.5000 0.3248 [1 per cell]  5 Zn 2.93-3.12, 2 Pb 3.19


2.
LiZn4Pb: relaxed, PBE-GGA.

Values from the calculation:
Magnetization = 0.000 Bohr magnetons per cell
ΔH_f (0 K) = -42 meV per atom
Theoretical density = 7.1 g cm⁻³

Lattice parameters (Å, degrees): 7.6277 7.6277 7.6277 90.00 90.00 90.00
With the nearest neighbours (Å) after each atom.
Space group F-43m (No. 216)
Symmetry-distinct sites (fractional):
1 Li 0.0000 0.0000 0.0000 [4 per cell]  12 Zn 3.16, 4 Pb 3.30
2 Zn 0.1264 0.1264 0.3736 [16 per cell]  6 Zn 2.67-2.73
3 Pb 0.2500 0.2500 0.7500 [4 per cell]  12 Zn 3.17, 4 Li 3.30


3.
LiZn2Pb: relaxed, PBE-GGA.

Values from the calculation:
Magnetization = 0.000 Bohr magnetons per cell
ΔH_f (0 K) = 120 meV per atom
Theoretical density = 6.8 g cm⁻³

Lattice parameters (Å, degrees): 7.8072 7.8072 5.5272 90.00 90.00 90.00
With the nearest neighbours (Å) after each atom.
Space group I-42d (No. 122)
Symmetry-distinct sites (fractional):
1 Li 0.0000 0.0000 0.0000 [4 per cell]  4 Zn 2.73, 2 Pb 2.76
2 Zn 0.2285 0.7500 0.1250 [8 per cell]  2 Li 2.73, 2 Zn 2.78, 2 Pb 2.96
3 Pb 0.0000 0.0000 0.5000 [4 per cell]  2 Li 2.76, 4 Zn 2.96


4.
LiZnPb2: relaxed, PBE-GGA.

Values from the calculation:
Magnetization = 0.000 Bohr magnetons per cell
ΔH_f (0 K) = 92 meV per atom
Theoretical density = 7.8 g cm⁻³

Lattice parameters (Å, degrees): 7.9792 7.9792 6.4948 90.00 90.00 90.00
With the nearest neighbours (Å) after each atom.
Space group I-42d (No. 122)
Symmetry-distinct sites (fractional):
1 Li 0.0000 0.0000 0.0000 [4 per cell]  4 Pb 3.05, 2 Zn 3.25
2 Zn 0.0000 0.0000 0.5000 [4 per cell]  4 Pb 2.82
3 Pb 0.2290 0.2500 0.6250 [8 per cell]  2 Zn 2.82, 2 Li 3.05


5.
LiZnPb3: relaxed, PBE-GGA.

Values from the calculation:
Magnetization = 0.000 Bohr magnetons per cell
ΔH_f (0 K) = 235 meV per atom
Offset from the most stable computed form = 0.000 eV/atom
Theoretical density = 7.1 g cm⁻³

Lattice parameters (Å, degrees): 5.4609 5.4609 5.4609 90.00 90.00 90.00
With the nearest neighbours (Å) after each atom.
Space group Pm-3m (No. 221)
Symmetry-distinct sites (fractional):
1 Li 0.0000 0.0000 0.0000 [1 per cell]  12 Pb 3.86
2 Zn 0.5000 0.5000 0.5000 [1 per cell]  6 Pb 2.73
3 Pb 0.0000 0.5000 0.5000 [3 per cell]  2 Zn 2.73


6.
LiZn2Pb: relaxed, PBE-GGA.

Values from the calculation:
Magnetization = 0.000 Bohr magnetons per cell
ΔH_f (0 K) = -53 meV per atom
Theoretical density = 7.4 g cm⁻³

Lattice parameters (Å, degrees): 3.3936 3.3936 6.7593 90.00 90.00 90.00
With the nearest neighbours (Å) after each atom.
Space group P4mm (No. 99)
Symmetry-distinct sites (fractional):
1 Li 0.0000 0.0000 0.0000 [1 per cell]  5 Zn 2.72-2.81
2 Zn 0.0000 0.0000 0.5975 [1 per cell]  4 Zn 2.71, 1 Li 2.72
3 Zn 0.5000 0.5000 0.7839 [1 per cell]  4 Zn 2.71, 4 Li 2.81
4 Pb 0.5000 0.5000 0.2886 [1 per cell]  4 Li 3.09, 6 Zn 3.18-3.41, 4 Pb 3.39


7.
LiZnPb2: relaxed, PBE-GGA.

Values from the calculation:
Magnetization = 0.000 Bohr magnetons per cell
ΔH_f (0 K) = -63 meV per atom
Theoretical density = 8.6 g cm⁻³

Lattice parameters (Å, degrees): 4.9379 4.9379 3.8702 90.00 90.00 90.00
With the nearest neighbours (Å) after each atom.
Space group P4/mmm (No. 123)
Symmetry-distinct sites (fractional):
1 Li 0.0000 0.0000 0.0000 [1 per cell]  8 Pb 3.14, 4 Zn 3.49
2 Zn 0.5000 0.5000 0.0000 [1 per cell]  8 Pb 3.14, 4 Li 3.49
3 Pb 0.0000 0.5000 0.5000 [2 per cell]  4 Li 3.14, 4 Zn 3.14, 4 Pb 3.49


8.
Li3ZnPb2: relaxed, PBE-GGA.

Values from the calculation:
Magnetization = 0.000 Bohr magnetons per cell
ΔH_f (0 K) = -195 meV per atom
Offset from the most stable computed form = 0.000 eV/atom
Theoretical density = 6.9 g cm⁻³

Lattice parameters (Å, degrees): 4.6909 14.0464 3.6619 90.00 90.00 90.00
With the nearest neighbours (Å) after each atom.
Space group Cmmm (No. 65)
Symmetry-distinct sites (fractional):
1 Li 0.0000 0.0000 0.0000 [2 per cell]  4 Pb 2.88, 4 Zn 2.98
2 Li 0.0000 0.3409 0.0000 [4 per cell]  2 Zn 2.89, 6 Pb 2.98-3.15
3 Zn 0.0000 0.5000 0.5000 [2 per cell]  8 Li 2.89-2.98, 4 Pb 3.23
4 Pb 0.0000 0.1584 0.5000 [4 per cell]  8 Li 2.88-3.15


9.
LiZnPb4: relaxed, PBE-GGA.

Values from the calculation:
Magnetization = 0.000 Bohr magnetons per cell
ΔH_f (0 K) = 201 meV per atom
Theoretical density = 7.9 g cm⁻³

Lattice parameters (Å, degrees): 9.1286 9.1286 9.1286 90.00 90.00 90.00
With the nearest neighbours (Å) after each atom.
Space group F-43m (No. 216)
Symmetry-distinct sites (fractional):
1 Li 0.0000 0.0000 0.0000 [4 per cell]  12 Pb 3.78, 4 Zn 3.95
2 Zn 0.2500 0.2500 0.2500 [4 per cell]  12 Pb 3.78, 4 Li 3.95
3 Pb 0.1251 0.1251 0.6251 [16 per cell]  6 Pb 3.23


10.
Li4ZnPb5: relaxed, PBE-GGA.

Values from the calculation:
Magnetization = 0.000 Bohr magnetons per cell
ΔH_f (0 K) = -177 meV per atom
Theoretical density = 8.1 g cm⁻³

Lattice parameters (Å, degrees): 3.6724 3.6724 17.1722 90.00 90.00 90.00
With the nearest neighbours (Å) after each atom.
Space group P4/mmm (No. 123)
Symmetry-distinct sites (fractional):
1 Li 0.0000 0.0000 0.0986 [2 per cell]  8 Pb 3.10-3.11, 2 Li 3.39
2 Li 0.0000 0.0000 0.2958 [2 per cell]  8 Pb 3.09-3.16, 1 Li 3.39
3 Zn 0.0000 0.0000 0.5000 [1 per cell]  8 Pb 3.11
4 Pb 0.5000 0.5000 0.0000 [1 per cell]  8 Li 3.10, 2 Pb 3.41
5 Pb 0.5000 0.5000 0.1985 [2 per cell]  8 Li 3.09-3.11, 1 Pb 3.41
6 Pb 0.5000 0.5000 0.4005 [2 per cell]  4 Zn 3.11, 4 Li 3.16, 2 Pb 3.42-3.47


11.
LiZn2Pb2: relaxed, PBE-GGA.

Values from the calculation:
Magnetization = 0.000 Bohr magnetons per cell
ΔH_f (0 K) = 10 meV per atom
Offset from the most stable computed form = 0.008 eV/atom
Theoretical density = 8.0 g cm⁻³

Lattice parameters (Å, degrees): 7.3057 7.3057 4.3107 90.00 90.00 90.00
With the nearest neighbours (Å) after each atom.
Space group P4/mbm (No. 127)
Symmetry-distinct sites (fractional):
1 Li 0.0000 0.0000 0.0000 [2 per cell]  4 Zn 2.89
2 Zn 0.1246 0.3754 0.0000 [4 per cell]  1 Zn 2.57
3 Pb 0.1819 0.6819 0.5000 [4 per cell]  6 Zn 2.94-3.14


12.
LiZnPb2: relaxed, PBE-GGA.

Values from the calculation:
Magnetization = 0.000 Bohr magnetons per cell
ΔH_f (0 K) = -44 meV per atom
Theoretical density = 8.5 g cm⁻³

Lattice parameters (Å, degrees): 3.6804 3.7085 6.9712 90.00 90.00 90.00
With the nearest neighbours (Å) after each atom.
Space group Pmmm (No. 47)
Symmetry-distinct sites (fractional):
1 Li 0.0000 0.0000 0.0000 [1 per cell]  8 Pb 3.17, 2 Zn 3.49
2 Zn 0.0000 0.0000 0.5000 [1 per cell]  8 Pb 3.11
3 Pb 0.5000 0.5000 0.2580 [2 per cell]  4 Zn 3.11, 4 Li 3.17, 1 Pb 3.37


13.
LiZn2Pb2: relaxed, PBE-GGA.

Values from the calculation:
Magnetization = 0.000 Bohr magnetons per cell
ΔH_f (0 K) = 97 meV per atom
Offset from the most stable computed form = 0.094 eV/atom
Theoretical density = 7.6 g cm⁻³

Lattice parameters (Å, degrees): 8.1172 8.1172 3.6401 90.00 90.00 90.00
With the nearest neighbours (Å) after each atom.
Space group P4/mbm (No. 127)
Symmetry-distinct sites (fractional):
1 Li 0.0000 0.0000 0.0000 [2 per cell]  4 Pb 2.97
2 Zn 0.1177 0.3823 0.5000 [4 per cell]  1 Zn 2.70, 2 Pb 2.93
3 Pb 0.1820 0.6820 0.0000 [4 per cell]  6 Zn 2.93-3.08, 2 Li 2.97


14.
Li2Zn2Pb: relaxed, PBE-GGA.

Values from the calculation:
Magnetization = 0.000 Bohr magnetons per cell
ΔH_f (0 K) = -130 meV per atom
Offset from the most stable computed form = 0.000 eV/atom
Theoretical density = 6.2 g cm⁻³

Lattice parameters (Å, degrees): 7.4317 7.4317 3.4281 90.00 90.00 90.00
With the nearest neighbours (Å) after each atom.
Space group P4/mbm (No. 127)
Symmetry-distinct sites (fractional):
1 Li 0.1702 0.3298 0.0000 [4 per cell]  6 Zn 2.78-2.79
2 Zn 0.1207 0.6207 0.5000 [4 per cell]  1 Zn 2.54, 6 Li 2.78-2.79
3 Pb 0.0000 0.0000 0.5000 [2 per cell]  4 Zn 2.96, 8 Li 3.25


15.
LiZnPb2: relaxed, PBE-GGA.

Values from the calculation:
Magnetization = 0.000 Bohr magnetons per cell
ΔH_f (0 K) = 8 meV per atom
Theoretical density = 7.7 g cm⁻³

Lattice parameters (Å, degrees): 4.7087 4.7087 16.4363 90.00 90.00 120.00
With the nearest neighbours (Å) after each atom.
Space group R3m (No. 160, hexagonal axes)
Symmetry-distinct sites (fractional):
1 Li 0.0000 0.0000 0.0000 [3 per cell]  6 Pb 3.05-3.31, 1 Zn 3.07
2 Zn 0.0000 0.0000 0.8133 [3 per cell]  6 Pb 2.91-2.96, 1 Li 3.07
3 Pb 0.0000 0.0000 0.2180 [3 per cell]  3 Zn 2.96, 1 Pb 3.27, 3 Li 3.31
4 Pb 0.0000 0.0000 0.4171 [3 per cell]  3 Zn 2.91, 3 Li 3.05


16.
LiZn2Pb: relaxed, PBE-GGA.

Values from the calculation:
Magnetization = 0.000 Bohr magnetons per cell
ΔH_f (0 K) = -17 meV per atom
Theoretical density = 7.4 g cm⁻³

Lattice parameters (Å, degrees): 4.3352 4.3352 8.2066 90.00 90.00 90.00
With the nearest neighbours (Å) after each atom.
Space group I-4m2 (No. 119)
Symmetry-distinct sites (fractional):
1 Li 0.0000 0.0000 0.0000 [2 per cell]  4 Pb 2.98, 8 Zn 2.98-3.07
2 Zn 0.0000 0.0000 0.5000 [2 per cell]  4 Pb 2.98, 4 Zn 2.98, 4 Li 3.07
3 Zn 0.0000 0.5000 0.2500 [2 per cell]  4 Li 2.98, 4 Zn 2.98, 4 Pb 3.07
4 Pb 0.0000 0.5000 0.7500 [2 per cell]  4 Li 2.98, 8 Zn 2.98-3.07


17.
Li4ZnPb: relaxed, PBE-GGA.

Values from the calculation:
Magnetization = 1.799 Bohr magnetons per cell
ΔH_f (0 K) = -50 meV per atom
Offset from the most stable computed form = 0.154 eV/atom
Theoretical density = 4.6 g cm⁻³

Lattice parameters (Å, degrees): 7.5946 7.5946 7.5946 90.00 90.00 90.00
With the nearest neighbours (Å) after each atom.
Space group F-43m (No. 216)
Symmetry-distinct sites (fractional):
1 Li 0.1251 0.1251 0.1251 [16 per cell]  6 Li 2.68-2.69
2 Zn 0.0000 0.0000 0.5000 [4 per cell]  12 Li 3.15, 4 Pb 3.29
3 Pb 0.2500 0.2500 0.7500 [4 per cell]  12 Li 3.15, 4 Zn 3.29


18.
Li4ZnPb: relaxed, PBE-GGA.

Values from the calculation:
Magnetization = 0.000 Bohr magnetons per cell
ΔH_f (0 K) = -204 meV per atom
Offset from the most stable computed form = 0.000 eV/atom
Theoretical density = 4.7 g cm⁻³

Lattice parameters (Å, degrees): 4.6682 5.6775 7.9837 90.00 90.00 90.00
With the nearest neighbours (Å) after each atom.
Space group Immm (No. 71)
Symmetry-distinct sites (fractional):
1 Li 0.0000 0.2468 0.1650 [8 per cell]  5 Li 2.63-2.87
2 Zn 0.0000 0.5000 0.5000 [2 per cell]  2 Pb 2.84, 12 Li 3.02-3.04
3 Pb 0.0000 0.0000 0.5000 [2 per cell]  2 Zn 2.84, 12 Li 3.02-3.04


19.
LiZn2Pb2: relaxed, PBE-GGA.

Values from the calculation:
Magnetization = 0.000 Bohr magnetons per cell
ΔH_f (0 K) = 3 meV per atom
Offset from the most stable computed form = 0.000 eV/atom
Theoretical density = 7.9 g cm⁻³

Lattice parameters (Å, degrees): 3.6885 3.6885 17.1308 90.00 90.00 90.00
With the nearest neighbours (Å) after each atom.
Space group I4/mmm (No. 139)
Symmetry-distinct sites (fractional):
1 Li 0.0000 0.0000 0.0000 [2 per cell]  8 Pb 3.22
2 Zn 0.0000 0.5000 0.2500 [4 per cell]  4 Zn 2.61
3 Pb 0.0000 0.0000 0.3901 [4 per cell]  4 Zn 3.03, 4 Li 3.22


20.
LiZnPb2: relaxed, PBE-GGA.

Values from the calculation:
Magnetization = 0.000 Bohr magnetons per cell
ΔH_f (0 K) = -54 meV per atom
Theoretical density = 8.7 g cm⁻³

Lattice parameters (Å, degrees): 3.4356 3.4356 7.9159 90.00 90.00 90.00
With the nearest neighbours (Å) after each atom.
Space group P4mm (No. 99)
Symmetry-distinct sites (fractional):
1 Li 0.0000 0.0000 0.0000 [1 per cell]  4 Zn 2.74, 4 Pb 3.06
2 Zn 0.5000 0.5000 0.8410 [1 per cell]  4 Li 2.74
3 Pb 0.0000 0.0000 0.5905 [1 per cell]  4 Zn 3.14, 1 Li 3.24, 4 Pb 3.44
4 Pb 0.5000 0.5000 0.2356 [1 per cell]  4 Li 3.06, 1 Zn 3.12